# PBE NdInCu, relaxed
data_NdInCu
_chemical_formula_sum 'Nd3 In3 Cu3'
_space_group_name_H-M_alt 'P -6 2 m'
_space_group_IT_number 189
_space_group_name_Hall 'P -6 -2'
_cell_length_a 7.1043
_cell_length_b 7.1043
_cell_length_c 4.7281
_cell_angle_alpha 90.00
_cell_angle_beta 90.00
_cell_angle_gamma 120.00
loop_
_atom_site_label
_atom_site_type_symbol
_atom_site_fract_x
_atom_site_fract_y
_atom_site_fract_z
Nd1 Nd 0.0000 0.5619 0.0000
In1 In 0.0000 0.0000 0.0000
In2 In 0.3333 0.6667 0.5000
Cu1 Cu 0.0000 0.2214 0.5000
# Total DFT energy (no corrections): -3.9739 eV/atom